No. 1
# Ba2CaTl

An optimized crystal structure of Ba2CaTl (GGA-PBEsol, Alexandria).

Lattice parameters (Å, degrees): 4.0334 4.0334 10.4889 90.00 90.00 90.00
Fractional positions:
Ba1 0.0000 0.0000 0.0000
Ba2 0.5000 0.5000 0.3419
Ca1 0.0000 0.0000 0.6332
Tl1 0.5000 0.5000 0.7863

## Properties
Calculated total energy = -9.95 eV for the cell shown
DOS(E_F) = 4.897 states/eV/cell
Excess energy over the best structure of this formula in the dataset = 0.015 eV per atom
Total moment = 0.00 μB/f.u.
Formation energy = -0.221 eV/atom


No. 2
# MgAlPb

An optimized crystal structure of MgAlPb (GGA-PBEsol, Alexandria).

Lattice parameters (Å, degrees): 5.5704 5.5704 5.5704 145.21 135.12 58.01
Fractional positions:
Mg1 0.0000 0.0000 0.0000
Al1 0.3497 0.3497 0.0000
Pb1 0.6774 0.6774 0.0000

## Properties
Calculated total energy = -9.50 eV for the cell shown
DOS(E_F) = 1.339 states/eV/cell
Total moment = 0.00 μB/f.u.
Formation energy = 0.103 eV/atom


No. 3
# Ba2ZnPt

An optimized crystal structure of Ba2ZnPt (GGA-PBEsol, Alexandria).

Lattice parameters (Å, degrees): 8.4766 8.4766 8.4766 30.67 30.67 30.67
Fractional positions:
Ba1 0.2373 0.2373 0.2373
Ba2 0.7627 0.7627 0.7627
Zn1 0.0000 0.0000 0.0000
Pt1 0.5000 0.5000 0.5000

## Properties
Calculated total energy = -13.95 eV for the cell shown
DOS(E_F) = 2.325 states/eV/cell
Total moment = 0.00 μB/f.u.
Formation energy = -0.277 eV/atom


No. 4
# Sm3Si3Ni

An optimized crystal structure of Sm3Si3Ni (GGA-PBEsol, Alexandria).

Lattice parameters (Å, degrees): 9.2482 9.2482 9.2482 155.27 153.89 36.27
Fractional positions:
Sm1 0.0000 0.0000 0.0000
Sm2 0.1802 0.6802 0.5000
Sm3 0.3661 0.3661 0.0000
Si1 0.5458 0.5458 0.0000
Si2 0.7394 0.2394 0.5000
Si3 0.8224 0.8224 0.0000
Ni1 0.6133 0.1133 0.5000

## Properties
Calculated total energy = -44.25 eV for the cell shown
DOS(E_F) = 5.777 states/eV/cell
Total moment = 0.00 μB/f.u.
Energy relative to the elements, uncorrected = -797.1 meV/atom